{
  "formula": "MnTe2Au",
  "functional": "PBE-GGA",
  "state": "optimized geometry",
  "lattice": [[-7.678, 2.298, 0.394], [0.207, 0.038, -4.094], [-1.287, -3.299, 2.064]],
  "species": ["Te", "Te", "Au", "Mn"],
  "frac_coords": [[0.814, 0.639, 0.361], [0.186, 0.361, 0.639], [0.500, 0.500, 0.500], [0.000, 0.000, 0.000]],
  "formation_energy_uncorrected_mev_per_atom": -71,
  "e_above_lowest_polymorph_mev_per_atom": 19,
  "vol_a3_per_fu": 114.0,
  "spacegroup": "No. 12"
}

=====

{
  "formula": "RbCdB3",
  "functional": "PBE-GGA",
  "state": "optimized geometry",
  "lattice": [[4.695, 0.000, 0.000], [0.000, 4.695, 0.000], [0.000, 0.000, 4.695]],
  "species": ["B", "B", "Rb", "Cd", "B"],
  "frac_coords": [[0.000, 0.500, 0.000], [0.000, 0.000, 0.500], [0.500, 0.500, 0.500], [0.000, 0.000, 0.000], [0.500, 0.000, 0.000]],
  "e_above_lowest_polymorph_mev_per_atom": 0,
  "vol_a3_per_fu": 103.5,
  "spacegroup": "No. 221"
}

=====

{
  "formula": "SrRh2Br",
  "functional": "PBE-GGA",
  "state": "optimized geometry",
  "lattice": [[5.112, 0.000, 0.000], [0.000, 5.112, 0.000], [2.556, 2.556, 8.017]],
  "species": ["Rh", "Br", "Br", "Rh", "Rh", "Rh", "Sr", "Sr"],
  "frac_coords": [[0.320, 0.125, 0.250], [0.250, 0.750, 0.500], [0.500, 0.500, 0.000], [0.875, 0.570, 0.750], [0.430, 0.625, 0.250], [0.375, 0.680, 0.750], [0.000, 0.000, 0.000], [0.750, 0.250, 0.500]],
  "formation_energy_uncorrected_mev_per_atom": -34,
  "e_above_lowest_polymorph_mev_per_atom": 222,
  "vol_a3_per_fu": 104.8,
  "spacegroup": "No. 122"
}

=====

{
  "formula": "SrCa4Zn5",
  "functional": "PBE-GGA",
  "state": "optimized geometry",
  "lattice": [[3.704, 0.000, 0.000], [0.000, 3.704, 0.000], [0.000, 0.000, 18.810]],
  "species": ["Ca", "Sr", "Zn", "Zn", "Zn", "Ca", "Zn", "Ca", "Ca", "Zn"],
  "frac_coords": [[0.000, 0.000, 0.598], [0.000, 0.000, 0.000], [0.500, 0.500, 0.889], [0.500, 0.500, 0.305], [0.500, 0.500, 0.695], [0.000, 0.000, 0.793], [0.500, 0.500, 0.111], [0.000, 0.000, 0.402], [0.000, 0.000, 0.207], [0.500, 0.500, 0.500]],
  "vol_a3_per_fu": 258.0,
  "spacegroup": "No. 123",
  "final_energy_ev_per_atom": -1.825
}

=====

{
  "formula": "Ac2Pm3Tm2",
  "functional": "PBE-GGA",
  "state": "optimized geometry",
  "lattice": [[3.683, 0.003, -0.001], [-1.832, 12.036, 0.359], [0.002, 1.288, 5.784]],
  "species": ["Ac", "Pm", "Tm", "Tm", "Pm", "Ac", "Pm"],
  "frac_coords": [[0.088, 0.172, 0.414], [0.000, 0.000, 0.000], [0.361, 0.724, 0.138], [0.639, 0.276, 0.862], [0.728, 0.455, 0.272], [0.912, 0.828, 0.586], [0.272, 0.545, 0.728]],
  "vol_a3_per_fu": 254.7,
  "spacegroup": "No. 12",
  "final_energy_ev_per_atom": -4.390
}

=====

{
  "formula": "KBeGaCl4",
  "functional": "PBE-GGA",
  "state": "optimized geometry",
  "lattice": [[6.657, 0.000, 0.090], [0.000, 6.764, 0.000], [-2.498, 0.000, 8.637]],
  "species": ["Ga", "Cl", "Cl", "K", "Be", "Cl", "Cl", "K", "Cl", "Cl", "Cl", "Be", "Ga", "Cl"],
  "frac_coords": [[0.752, 0.750, 0.963], [0.996, 0.490, 0.787], [0.580, 0.250, 0.840], [0.781, 0.750, 0.468], [0.198, 0.750, 0.274], [0.004, 0.510, 0.213], [0.420, 0.750, 0.160], [0.219, 0.250, 0.532], [0.687, 0.250, 0.493], [0.004, 0.990, 0.213], [0.313, 0.750, 0.507], [0.802, 0.250, 0.726], [0.248, 0.250, 0.037], [0.996, 0.010, 0.787]],
  "formation_energy_uncorrected_mev_per_atom": -1401,
  "vol_a3_per_fu": 195.2,
  "spacegroup": "No. 11"
}

=====

{
  "formula": "DyLu3",
  "functional": "PBE-GGA",
  "state": "optimized geometry",
  "lattice": [[-0.879, 2.721, 3.523], [-4.229, 0.608, -1.525], [0.591, -6.732, 2.426]],
  "species": ["Lu", "Lu", "Lu", "Dy"],
  "frac_coords": [[0.748, 0.748, 0.497], [0.252, 0.252, 0.503], [0.500, 0.500, 0.000], [0.000, 0.000, 0.000]],
  "e_above_lowest_polymorph_mev_per_atom": 825,
  "vol_a3_per_fu": 132.2,
  "spacegroup": "No. 139"
}

=====

{
  "formula": "CaAlAsAu2",
  "functional": "PBE-GGA",
  "state": "optimized geometry",
  "lattice": [[5.123, 0.000, 0.000], [0.000, 4.857, 0.000], [0.000, 0.000, 5.123]],
  "species": ["Al", "Au", "Au", "Ca", "As"],
  "frac_coords": [[0.000, 0.500, 0.000], [0.500, 0.000, 0.000], [0.000, 0.000, 0.500], [0.500, 0.500, 0.500], [0.000, 0.000, 0.000]],
  "vol_a3_per_fu": 127.5,
  "spacegroup": "No. 123",
  "final_energy_ev_per_atom": -3.369
}

=====

{
  "formula": "ZrW",
  "functional": "PBE-GGA",
  "state": "optimized geometry",
  "lattice": [[2.773, 0.000, 0.000], [0.000, 2.773, 0.000], [0.000, 0.000, 9.983]],
  "species": ["Zr", "Zr", "W", "W"],
  "frac_coords": [[0.250, 0.250, 0.645], [0.750, 0.750, 0.355], [0.250, 0.250, 0.113], [0.750, 0.750, 0.887]],
  "vol_a3_per_fu": 38.4,
  "spacegroup": "No. 129",
  "final_energy_ev_per_atom": -10.398
}

=====

{
  "formula": "ZrSbCl2",
  "functional": "PBE-GGA",
  "state": "optimized geometry",
  "lattice": [[-2.610, 1.661, -4.816], [2.088, -5.326, -0.183], [-2.968, -2.922, -1.398]],
  "species": ["Cl", "Cl", "Sb", "Zr"],
  "frac_coords": [[0.500, 0.500, 0.000], [0.000, 0.000, 0.000], [0.500, 0.000, 0.500], [0.000, 0.500, 0.500]],
  "formation_energy_uncorrected_mev_per_atom": -517,
  "e_above_lowest_polymorph_mev_per_atom": 559,
  "vol_a3_per_fu": 93.2,
  "spacegroup": "No. 12"
}

=====

{
  "formula": "RbTeBrCl2",
  "functional": "PBE-GGA",
  "state": "optimized geometry",
  "lattice": [[-4.290, 1.161, -3.317], [-3.376, -2.818, 3.379], [-1.039, 4.922, 3.067]],
  "species": ["Cl", "Te", "Cl", "Rb", "Br"],
  "frac_coords": [[0.000, 0.500, 0.000], [0.000, 0.000, 0.000], [0.500, 0.000, 0.000], [0.500, 0.500, 0.500], [0.000, 0.000, 0.500]],
  "formation_energy_uncorrected_mev_per_atom": -891,
  "vol_a3_per_fu": 181.2,
  "spacegroup": "No. 123"
}

=====

{
  "formula": "TlCd2SCl",
  "functional": "PBE-GGA",
  "state": "optimized geometry",
  "lattice": [[5.684, 0.000, 0.000], [0.000, 5.466, 0.000], [0.000, 0.000, 5.684]],
  "species": ["Cd", "Tl", "Cd", "S", "Cl"],
  "frac_coords": [[0.500, 0.000, 0.000], [0.000, 0.000, 0.000], [0.000, 0.000, 0.500], [0.500, 0.500, 0.500], [0.000, 0.500, 0.000]],
  "formation_energy_uncorrected_mev_per_atom": 383,
  "e_above_lowest_polymorph_mev_per_atom": 497,
  "vol_a3_per_fu": 176.6,
  "spacegroup": "No. 123"
}

=====

{
  "formula": "AlGa3Pt3",
  "functional": "PBE-GGA",
  "state": "optimized geometry",
  "lattice": [[6.019, 0.586, 0.609], [-2.157, 5.650, 0.609], [0.003, 0.005, 7.062]],
  "species": ["Pt", "Ga", "Pt", "Pt", "Pt", "Ga", "Pt", "Ga", "Pt", "Ga", "Al", "Ga", "Al", "Ga"],
  "frac_coords": [[0.106, 0.521, 0.306], [0.228, 0.772, 0.000], [0.869, 0.869, 0.201], [0.479, 0.894, 0.694], [0.521, 0.106, 0.306], [0.862, 0.138, 0.500], [0.131, 0.131, 0.799], [0.469, 0.469, 0.701], [0.894, 0.479, 0.694], [0.772, 0.228, 0.000], [0.220, 0.220, 0.131], [0.138, 0.862, 0.500], [0.780, 0.780, 0.869], [0.531, 0.531, 0.299]],
  "vol_a3_per_fu": 124.5,
  "spacegroup": "No. 12",
  "final_energy_ev_per_atom": -4.909
}

=====

{
  "formula": "NbTe6Rh",
  "functional": "PBE-GGA",
  "state": "optimized geometry",
  "lattice": [[6.779, 0.202, 0.308], [3.552, 5.872, 0.380], [3.666, 2.211, 6.043]],
  "species": ["Te", "Te", "Te", "Te", "Rh", "Nb", "Te", "Te"],
  "frac_coords": [[0.581, 0.209, 0.295], [0.282, 0.937, 0.191], [0.958, 0.547, 0.285], [0.042, 0.453, 0.715], [0.000, 0.000, 0.000], [0.500, 0.500, 0.500], [0.718, 0.063, 0.809], [0.419, 0.791, 0.705]],
  "formation_energy_uncorrected_mev_per_atom": -181,
  "vol_a3_per_fu": 226.6,
  "spacegroup": "No. 2"
}

=====

{
  "formula": "RbSbTe2Au",
  "functional": "PBE-GGA",
  "state": "optimized geometry",
  "lattice": [[6.205, 0.000, 0.000], [0.000, 6.205, 0.000], [0.000, 0.000, 6.137]],
  "species": ["Te", "Sb", "Au", "Te", "Rb"],
  "frac_coords": [[0.500, 0.000, 0.000], [0.000, 0.000, 0.500], [0.500, 0.500, 0.500], [0.000, 0.500, 0.000], [0.000, 0.000, 0.000]],
  "formation_energy_uncorrected_mev_per_atom": 1384,
  "e_above_lowest_polymorph_mev_per_atom": 1638,
  "vol_a3_per_fu": 236.3,
  "spacegroup": "No. 123"
}

=====

{
  "formula": "UPaOs4",
  "functional": "PBE-GGA",
  "state": "optimized geometry",
  "lattice": [[5.348, 0.000, 0.000], [2.674, 4.631, 0.000], [2.674, 1.544, 4.367]],
  "species": ["Os", "Pa", "Os", "Os", "Os", "U"],
  "frac_coords": [[0.625, 0.124, 0.625], [0.250, 0.250, 0.250], [0.625, 0.625, 0.124], [0.625, 0.625, 0.625], [0.124, 0.625, 0.625], [0.000, 0.000, 0.000]],
  "vol_a3_per_fu": 108.2,
  "spacegroup": "No. 216",
  "final_energy_ev_per_atom": -11.127
}

=====

{
  "formula": "Pr2SmHo2",
  "functional": "PBE-GGA",
  "state": "optimized geometry",
  "lattice": [[-5.208, 7.454, 0.315], [-6.647, -5.896, 1.958], [5.077, -0.127, 3.416]],
  "species": ["Sm", "Sm", "Ho", "Ho", "Ho", "Ho", "Pr", "Pr", "Pr", "Pr"],
  "frac_coords": [[0.066, 0.934, 0.250], [0.934, 0.066, 0.750], [0.671, 0.329, 0.750], [0.802, 0.198, 0.250], [0.198, 0.802, 0.750], [0.329, 0.671, 0.250], [0.240, 0.391, 0.513], [0.609, 0.760, 0.987], [0.391, 0.240, 0.013], [0.760, 0.609, 0.487]],
  "e_above_lowest_polymorph_mev_per_atom": 274,
  "vol_a3_per_fu": 178.3,
  "spacegroup": "No. 15"
}

=====

{
  "formula": "Tb6TeRh3",
  "functional": "PBE-GGA",
  "state": "optimized geometry",
  "lattice": [[4.086, 0.000, 0.000], [0.000, 11.304, -3.220], [0.000, -0.410, 11.837]],
  "species": ["Tb", "Tb", "Te", "Tb", "Rh", "Tb", "Rh", "Rh", "Tb", "Tb", "Tb", "Tb", "Rh", "Tb", "Rh", "Tb", "Tb", "Tb", "Te", "Rh"],
  "frac_coords": [[0.750, 0.146, 0.443], [0.250, 0.248, 0.217], [0.750, 0.071, 0.679], [0.250, 0.308, 0.733], [0.250, 0.844, 0.935], [0.250, 0.535, 0.404], [0.750, 0.480, 0.831], [0.750, 0.156, 0.065], [0.750, 0.752, 0.783], [0.250, 0.067, 0.900], [0.250, 0.854, 0.557], [0.750, 0.933, 0.100], [0.750, 0.685, 0.516], [0.250, 0.617, 0.973], [0.250, 0.520, 0.169], [0.750, 0.465, 0.596], [0.750, 0.692, 0.267], [0.750, 0.383, 0.027], [0.250, 0.929, 0.321], [0.250, 0.315, 0.484]],
  "formation_energy_uncorrected_mev_per_atom": -790,
  "vol_a3_per_fu": 270.7,
  "spacegroup": "No. 11"
}

=====

{
  "formula": "HfScReAg",
  "functional": "PBE-GGA",
  "state": "optimized geometry",
  "lattice": [[-3.285, -1.186, 3.148], [-3.828, -2.360, -1.373], [-0.555, -4.502, 1.236]],
  "species": ["Re", "Ag", "Hf", "Sc"],
  "frac_coords": [[0.750, 0.750, 0.750], [0.250, 0.250, 0.250], [0.000, 0.000, 0.000], [0.500, 0.500, 0.500]],
  "vol_a3_per_fu": 73.5,
  "spacegroup": "No. 216",
  "final_energy_ev_per_atom": -8.059
}

=====

{
  "formula": "K2CrIn",
  "functional": "PBE-GGA",
  "state": "optimized geometry",
  "lattice": [[-2.581, 4.793, 3.339], [4.158, -3.930, 2.837], [2.968, 2.356, -1.087]],
  "species": ["Cr", "K", "In", "K"],
  "frac_coords": [[0.500, 0.000, 0.500], [0.500, 0.500, 0.000], [0.000, 0.500, 0.500], [0.000, 0.000, 0.000]],
  "vol_a3_per_fu": 139.9,
  "spacegroup": "No. 65",
  "final_energy_ev_per_atom": -3.018
}